Compound: Na2CePbO6
Source: the Alexandria database
Functional: PBE
Structure: relaxed

Cell lengths 6.0047, 6.2193, 9.6544 Å; angles 90.00, 126.64, 90.00 degrees
Space group P2_1/c (No. 14)
One atom of each set of equivalent atoms:
Na: 0.2320 0.0462 0.2485
Ce: 0.5000 0.0000 0.0000
Pb: 0.0000 0.0000 0.5000
O: 0.1209 0.2258 0.9087
O: 0.1926 0.7219 0.9134
O: 0.3918 0.0568 0.7473

Output
Energy: -5.76 eV/atom
Formation energy from raw total energies: -1.557 eV per atom